[1]
A plane-wave DFT calculation with PBE was carried out for a relaxed AlCr7 crystal.

abc: 7.2985 7.2985 7.2985
angles: 90.00 90.00 90.00
Last column: nearest neighbours and their distance in Å.
Space group Fm-3m (No. 225)
One atom of each set of equivalent atoms:
Al 0.0000 0.0000 0.0000 x4  12 Cr 2.58
Cr 0.0000 0.0000 0.5000 x4  12 Cr 2.58
Cr 0.0000 0.2500 0.2500 x24  10 Cr 2.58, 2 Al 2.58

Properties
total DFT energy (no corrections): -275.88 eV per cell
E_form: 267 meV/atom

[2]
A plane-wave DFT calculation with PBE was carried out for a relaxed Al2Cr3 crystal.

abc: 8.8436 12.8733 4.6482
angles: 90.00 90.00 90.00
Last column: nearest neighbours and their distance in Å.
Space group Fdd2 (No. 43)
One atom of each set of equivalent atoms:
Al 0.0350 0.3005 0.0000 x16  9 Cr 2.57-2.74, 2 Al 2.73
Cr 0.0000 0.0000 0.3942 x8  2 Cr 2.27
Cr 0.0357 0.4013 0.4957 x16  1 Cr 2.27

Properties
total DFT energy (no corrections): -287.19 eV per cell
energy relative to the lowest polymorph listed for this composition: 0.0 meV per atom
E_form: 91 meV/atom

[3]
A plane-wave DFT calculation with PBE was carried out for a relaxed Al4Cr3 crystal.

abc: 4.8722 4.8722 4.7900
angles: 90.00 90.00 120.00
Last column: nearest neighbours and their distance in Å.
Space group P6/mmm (No. 191)
One atom of each set of equivalent atoms:
Al 0.0000 0.0000 0.2491 x2  2 Al 2.39-2.40
Al 0.3333 0.6667 0.5000 x2  6 Cr 2.78, 9 Al 2.81-3.06
Cr 0.0000 0.5000 0.0000 x3  4 Cr 2.44, 4 Al 2.71

Properties
total DFT energy (no corrections): -43.82 eV per cell
energy relative to the lowest polymorph listed for this composition: 121.5 meV per atom
E_form: 3 meV/atom

Please write out number 3 again, unchanged.
A plane-wave DFT calculation with PBE was carried out for a relaxed Al4Cr3 crystal.

abc: 4.8722 4.8722 4.7900
angles: 90.00 90.00 120.00
Last column: nearest neighbours and their distance in Å.
Space group P6/mmm (No. 191)
One atom of each set of equivalent atoms:
Al 0.0000 0.0000 0.2491 x2  2 Al 2.39-2.40
Al 0.3333 0.6667 0.5000 x2  6 Cr 2.78, 9 Al 2.81-3.06
Cr 0.0000 0.5000 0.0000 x3  4 Cr 2.44, 4 Al 2.71

Properties
total DFT energy (no corrections): -43.82 eV per cell
energy relative to the lowest polymorph listed for this composition: 121.5 meV per atom
E_form: 3 meV/atom

What did the second record say?
A plane-wave DFT calculation with PBE was carried out for a relaxed Al2Cr3 crystal.

abc: 8.8436 12.8733 4.6482
angles: 90.00 90.00 90.00
Last column: nearest neighbours and their distance in Å.
Space group Fdd2 (No. 43)
One atom of each set of equivalent atoms:
Al 0.0350 0.3005 0.0000 x16  9 Cr 2.57-2.74, 2 Al 2.73
Cr 0.0000 0.0000 0.3942 x8  2 Cr 2.27
Cr 0.0357 0.4013 0.4957 x16  1 Cr 2.27

Properties
total DFT energy (no corrections): -287.19 eV per cell
energy relative to the lowest polymorph listed for this composition: 0.0 meV per atom
E_form: 91 meV/atom

What did the second record say?
A plane-wave DFT calculation with PBE was carried out for a relaxed Al2Cr3 crystal.

abc: 8.8436 12.8733 4.6482
angles: 90.00 90.00 90.00
Last column: nearest neighbours and their distance in Å.
Space group Fdd2 (No. 43)
One atom of each set of equivalent atoms:
Al 0.0350 0.3005 0.0000 x16  9 Cr 2.57-2.74, 2 Al 2.73
Cr 0.0000 0.0000 0.3942 x8  2 Cr 2.27
Cr 0.0357 0.4013 0.4957 x16  1 Cr 2.27

Properties
total DFT energy (no corrections): -287.19 eV per cell
energy relative to the lowest polymorph listed for this composition: 0.0 meV per atom
E_form: 91 meV/atom

Question: Among the records above, which one has the lowest E_form?
Answer: Al4Cr3